The following is a PBE calculation of an optimized crystal structure of ScU3Tl2O12, from Alexandria.

Results
Uncorrected formation energy: -2641.7 meV/atom
Final energy: -8.443 eV per atom
N(E_F): 0.6458 states/eV per atom

```
ScU3Tl2O12
1.0
7.6679 -0.1515 -0.1075
3.6550 6.7424 -0.1075
3.6550 2.1275 6.3989
Sc U Tl O
1 3 2 12
Cartesian
0.0000 0.0000 0.0000 Sc
3.8340 -0.0758 -0.0537 U
1.8275 3.3712 -0.0537 U
1.8275 1.0638 3.1994 U
9.0418 5.2631 3.7330 Tl
5.9362 3.4554 2.4509 Tl
7.0122 4.0817 5.8669 O
11.7857 6.8603 1.8235 O
9.2889 8.2783 5.8717 O
9.4510 2.6966 1.9127 O
11.7857 3.9889 5.8717 O
7.0122 6.8864 1.9127 O
7.9658 4.6367 0.3170 O
3.1923 1.8582 4.3604 O
5.6891 0.4401 0.3122 O
5.5270 6.0218 4.2712 O
3.1923 4.7295 0.3122 O
7.9658 1.8320 4.2712 O
```